## LaHS2Cl (PBE-GGA)

Data for a relaxed LaHS2Cl crystal.

a b c (Å): 5.7177 5.7177 5.6197
angles (deg): 90.00 90.00 90.00
Last column: magnetic moment on the atom in μB.
Positions (direct):
H (0.5000, 0.5000, 0.5000)  0.38
La (0.0000, 0.0000, 0.0000)  -0.02
S (0.0000, 0.5000, 0.0000)  0.57
S (0.5000, 0.0000, 0.0000)  0.57
Cl (0.0000, 0.0000, 0.5000)  0.07

Properties
DOS at the Fermi energy: 1.20 states/eV per atom
theoretical density: 2.2 g cm⁻³
distance to the lowest polymorph of the same formula: 2.46 eV per formula unit
uncorrected energy: -3.949 eV per atom

***

## LaHS2Cl (PBE-GGA)

Data for a relaxed LaHS2Cl crystal.

a b c (Å): 4.1651 4.1651 4.9759
angles (deg): 90.00 90.00 90.00
Positions (direct):
S (0.0000, 0.5000, 0.0000)
S (0.5000, 0.0000, 0.0000)
H (0.0000, 0.0000, 0.0000)
La (0.5000, 0.5000, 0.5000)
Cl (0.0000, 0.0000, 0.5000)

Properties
DOS at the Fermi energy: 0.16 states/eV per atom
theoretical density: 4.6 g cm⁻³
distance to the lowest polymorph of the same formula: 0.00 eV per formula unit
uncorrected energy: -4.441 eV per atom

***

## LaSc2HCl (PBE-GGA)

Data for a relaxed LaSc2HCl crystal.

a b c (Å): 4.7261 5.5963 4.7261
angles (deg): 90.00 90.00 90.00
Positions (direct):
Sc (0.5000, 0.0000, 0.0000)
Sc (0.0000, 0.0000, 0.5000)
La (0.0000, 0.5000, 0.0000)
H (0.5000, 0.5000, 0.5000)
Cl (0.0000, 0.0000, 0.0000)

Properties
DOS at the Fermi energy: 1.33 states/eV per atom
theoretical density: 3.5 g cm⁻³
uncorrected energy: -4.377 eV per atom

***

## La2H2SeCl (PBE-GGA)

Data for a relaxed La2H2SeCl crystal.

a b c (Å): 4.0835 4.0835 8.2062
angles (deg): 90.00 90.00 120.00
Positions (direct):
H (0.6667, 0.3333, 0.7667)
H (0.3333, 0.6667, 0.2333)
La (0.3333, 0.6667, 0.7333)
La (0.6667, 0.3333, 0.2667)
Se (0.0000, 0.0000, 0.5000)
Cl (0.0000, 0.0000, 0.0000)

Properties
DOS at the Fermi energy: 0.49 states/eV per atom
theoretical density: 5.5 g cm⁻³
uncorrected energy: -5.054 eV per atom

***

> Which value of theoretical density does entry 3 give?

3.5 g cm⁻³